(1)
Crystalline FeCo2Hg at its relaxed geometry. Source: Alexandria, functional GGA-PBEsol.

Values from the calculation:
**N(E_F)**: 0.751 states/eV per atom
**Energy of formation**: 0.373 eV/atom
**Uncorrected energy**: -5.88 eV/atom

Lattice parameters (Å, degrees): 2.7483 2.7483 8.2966 80.47 80.47 60.00
Closest atoms and distances in Å follow each position.
Sites, in units of the cell vectors:
Co 0.2394 0.2394 0.2817  3 Fe 2.38
Co 0.7606 0.7606 0.7183  3 Fe 2.38
Fe 0.5000 0.5000 0.5000  6 Co 2.38
Hg 0.0000 0.0000 0.0000  6 Hg 2.75, 6 Co 2.79

***

(2)
Crystalline FeCo2Hg at its relaxed geometry. Source: Alexandria, functional GGA-PBEsol.

Values from the calculation:
**N(E_F)**: 1.050 states/eV per atom
**Energy of formation**: 0.277 eV/atom
**Uncorrected energy**: -5.97 eV/atom

Lattice parameters (Å, degrees): 2.8096 2.8096 6.6103 90.00 90.00 90.00
Closest atoms and distances in Å follow each position.
Sites, in units of the cell vectors:
Co 0.0000 0.0000 0.0471  4 Co 2.37
Co 0.5000 0.5000 0.2437  4 Co 2.37, 4 Fe 2.42
Fe 0.0000 0.0000 0.4536  5 Co 2.42-2.69
Hg 0.5000 0.5000 0.7555  4 Co 2.77, 4 Hg 2.81, 4 Fe 2.82

***

(3)
Crystalline FeCo2Hg at its relaxed geometry. Source: Alexandria, functional GGA-PBEsol.

Values from the calculation:
**N(E_F)**: 1.032 states/eV per atom
**Energy of formation**: 0.202 eV/atom
**Uncorrected energy**: -6.05 eV/atom

Lattice parameters (Å, degrees): 2.8767 2.8767 6.2288 90.00 90.00 90.00
Closest atoms and distances in Å follow each position.
Sites, in units of the cell vectors:
Co 0.0000 0.0000 0.7934  4 Fe 2.41, 1 Co 2.57
Co 0.0000 0.0000 0.2066  4 Fe 2.41, 1 Co 2.57
Fe 0.5000 0.5000 0.0000  8 Co 2.41
Hg 0.5000 0.5000 0.5000  8 Co 2.73, 4 Hg 2.88